No. 1
VASP calculation (PBE) on a relaxed B6SN6 crystal.

Cell: 4.573 4.573 4.573 Å, 90.00 90.00 90.00°
Space group Pm-3 (No. 200)
Unique sites:
1 B 0.000 0.246 0.500
2 S 0.000 0.000 0.000
3 N 0.000 0.500 0.254

ΔE_f (raw)	-0.28	eV/atom
M_tot	0.001	Bohr magnetons per cell


No. 2
VASP calculation (PBE) on a relaxed BS2N2 crystal.

Cell: 3.221 3.221 7.483 Å, 90.00 90.00 90.00°
Space group P4/mmm (No. 123)
Unique sites:
1 B 0.000 0.000 0.000
2 S 0.500 0.500 0.000
3 S 0.500 0.500 0.500
4 N 0.000 0.500 0.500

ΔE_f (raw)	1.78	eV/atom
M_tot	0.000	Bohr magnetons per cell


No. 3
VASP calculation (PBE) on a relaxed BSbS2N crystal.

Cell: 5.027 5.027 3.962 Å, 90.00 90.00 90.00°
Space group P4/mmm (No. 123)
Unique sites:
1 B 0.000 0.000 0.000
2 Sb 0.500 0.500 0.500
3 S 0.000 0.500 0.500
4 N 0.500 0.500 0.000

ΔE_f (raw)	1.70	eV/atom
M_tot	0.002	Bohr magnetons per cell


No. 4
VASP calculation (PBE) on a relaxed BSbS2N crystal.

Cell: 5.572 5.572 2.707 Å, 90.00 90.00 90.00°
Space group P4/mmm (No. 123)
Unique sites:
1 B 0.000 0.000 0.000
2 Sb 0.500 0.500 0.500
3 S 0.000 0.500 0.000
4 N 0.000 0.000 0.500

ΔE_f (raw)	0.38	eV/atom
M_tot	0.345	Bohr magnetons per cell


No. 5
VASP calculation (PBE) on a relaxed ScBSN2 crystal.

Cell: 3.323 3.323 5.484 Å, 90.00 90.00 90.00°
Space group P4/mmm (No. 123)
Unique sites:
1 Sc 0.000 0.000 0.000
2 B 0.500 0.500 0.500
3 S 0.500 0.500 0.000
4 N 0.000 0.500 0.500

ΔE_f (raw)	0.30	eV/atom
M_tot	0.000	Bohr magnetons per cell


No. 6
VASP calculation (PBE) on a relaxed ScBSN2 crystal.

Cell: 4.202 4.202 5.130 Å, 90.00 90.00 90.00°
Space group P4/mmm (No. 123)
Unique sites:
1 Sc 0.000 0.000 0.000
2 B 0.500 0.500 0.500
3 S 0.000 0.000 0.500
4 N 0.000 0.500 0.000

ΔE_f (raw)	1.54	eV/atom
M_tot	3.835	Bohr magnetons per cell


No. 7
VASP calculation (PBE) on a relaxed BSeSN2 crystal.

Cell: 3.277 3.277 7.734 Å, 90.00 90.00 90.00°
Space group P4/mmm (No. 123)
Unique sites:
1 B 0.000 0.000 0.000
2 Se 0.500 0.500 0.000
3 S 0.500 0.500 0.500
4 N 0.000 0.500 0.500

ΔE_f (raw)	1.72	eV/atom
M_tot	0.000	Bohr magnetons per cell


No. 8
VASP calculation (PBE) on a relaxed BSeS2N crystal.

Cell: 4.886 4.886 3.721 Å, 90.00 90.00 90.00°
Space group P4/mmm (No. 123)
Unique sites:
1 B 0.000 0.000 0.000
2 Se 0.500 0.500 0.500
3 S 0.000 0.500 0.500
4 N 0.500 0.500 0.000

ΔE_f (raw)	1.96	eV/atom
M_tot	1.281	Bohr magnetons per cell


No. 9
VASP calculation (PBE) on a relaxed BSeSN2 crystal.

Cell: 3.536 3.536 7.222 Å, 90.00 90.00 90.00°
Space group P4/mmm (No. 123)
Unique sites:
1 B 0.000 0.000 0.000
2 Se 0.500 0.500 0.500
3 S 0.500 0.500 0.000
4 N 0.000 0.500 0.500

ΔE_f (raw)	2.19	eV/atom
M_tot	0.000	Bohr magnetons per cell


No. 10
VASP calculation (PBE) on a relaxed BSeS2N crystal.

Cell: 7.737 7.737 2.490 Å, 90.00 90.00 90.00°
Space group P4/mmm (No. 123)
Unique sites:
1 B 0.000 0.000 0.000
2 Se 0.500 0.500 0.500
3 S 0.000 0.500 0.000
4 N 0.000 0.000 0.500

ΔE_f (raw)	0.53	eV/atom
M_tot	0.000	Bohr magnetons per cell


No. 11
VASP calculation (PBE) on a relaxed BSeSN2 crystal.

Cell: 3.250 3.250 7.457 Å, 90.00 90.00 90.00°
Space group P4/mmm (No. 123)
Unique sites:
1 B 0.000 0.000 0.000
2 Se 0.500 0.500 0.500
3 S 0.000 0.000 0.500
4 N 0.000 0.500 0.000

ΔE_f (raw)	1.21	eV/atom
M_tot	0.000	Bohr magnetons per cell


No. 12
VASP calculation (PBE) on a relaxed SiBS2N crystal.

Cell: 5.266 5.266 2.643 Å, 90.00 90.00 90.00°
Space group P4/mmm (No. 123)
Unique sites:
1 Si 0.000 0.000 0.000
2 B 0.500 0.500 0.500
3 S 0.000 0.500 0.500
4 N 0.500 0.500 0.000

ΔE_f (raw)	0.45	eV/atom
M_tot	0.000	Bohr magnetons per cell


Look up the ΔE_f (raw) of the third one.
1.70 eV/atom